VASP calculation (GGA-PBE) on a relaxed structure of Er6Co2Pt.

For the formation energy, the calculation gives -449 meV per atom. The value obtained for the relative energy among the computed polymorphs is 0.0000 eV/atom. The value obtained for the calculated volume is 22.7 Å³/atom. The total moment is 0.000 μB per atom. Its total energy is -5.741 eV/atom.

Cell lengths 9.182, 9.298, 9.585 Å; angles 90.00, 90.00, 90.00 degrees
Space group Immm (No. 71)
Unique sites:
Er1 0.000 0.187 0.174
Er2 0.179 0.229 0.500
Er3 0.189 0.500 0.252
Co1 0.000 0.000 0.385
Co2 0.163 0.000 0.000
Pt1 0.000 0.500 0.000
Pt2 0.000 0.500 0.500


VASP calculation (GGA-PBE) on a relaxed structure of Er4CoPt.

For the formation energy, the calculation gives -473 meV per atom. The value obtained for the relative energy among the computed polymorphs is 0.0843 eV/atom. The value obtained for the calculated volume is 27.7 Å³/atom. The total moment is 0.000 μB per atom. Its total energy is -5.706 eV/atom.

Cell lengths 9.092, 9.092, 8.052 Å; angles 90.00, 90.00, 90.00 degrees
Space group I4_1md (No. 109)
Unique sites:
Er1 0.000 0.195 0.000
Er2 0.000 0.205 0.474
Co1 0.000 0.000 0.239
Pt1 0.000 0.000 0.734


VASP calculation (GGA-PBE) on a relaxed structure of Er8CoPt2.

For the formation energy, the calculation gives -537 meV per atom. The value obtained for the relative energy among the computed polymorphs is 0.0000 eV/atom. The value obtained for the calculated volume is 24.6 Å³/atom. The total moment is 0.000 μB per atom. Its total energy is -5.600 eV/atom.

Cell lengths 17.012, 4.949, 6.690 Å; angles 90.00, 106.38, 90.00 degrees
Space group C2/m (No. 12)
Unique sites:
Er1 0.030 0.000 0.293
Er2 0.092 0.500 0.941
Er3 0.163 0.500 0.467
Er4 0.204 0.000 0.811
Co1 0.000 0.500 0.500
Pt1 0.187 0.000 0.214